No. 1
Material: AlRe2IrAu
Method: DFT, SCAN
State: PBEsol geometry

Calculated values
Energy: -280.884 eV/cell

a b c (Å): 4.417 4.417 4.384
angles (deg): 90.00 90.00 90.00
Space group P4/mmm (No. 123)
Symmetry-distinct sites (fractional):
Al  0.000  0.000  0.000
Re  0.000  0.500  0.000
Ir  0.500  0.500  0.500
Au  0.000  0.000  0.500

***

No. 2
Material: Ta4OsRu
Method: DFT, SCAN
State: PBEsol geometry

Calculated values
Energy: -1482.085 eV/cell

a b c (Å): 7.384 7.384 7.384
angles (deg): 90.00 90.00 90.00
Space group F-43m (No. 216)
Symmetry-distinct sites (fractional):
Ta  0.125  0.125  0.125
Os  0.000  0.000  0.500
Ru  0.250  0.250  0.750

***

No. 3
Material: Ba2TaRu
Method: DFT, SCAN
State: PBEsol geometry

Calculated values
Energy: -350.231 eV/cell

a b c (Å): 5.869 10.564 3.222
angles (deg): 90.00 90.00 90.00
Space group Cmmm (No. 65)
Symmetry-distinct sites (fractional):
Ba  0.250  0.250  0.000
Ta  0.000  0.000  0.500
Ru  0.000  0.500  0.500